Material: RbCd3Rh
Method: DFT, PBE-GGA
State: relaxed

The structure in POSCAR format:
```
RbCd3Rh
1.0
18.853 0.000 -0.666
7.073 2.605 -3.307
-7.073 2.605 3.307
Cd Rh Rb
6 2 2
direct
0.186 0.780 0.220 Cd
0.138 0.533 0.467 Cd
0.862 0.467 0.533 Cd
0.407 0.688 0.312 Cd
0.593 0.312 0.688 Cd
0.814 0.220 0.780 Cd
0.954 0.896 0.104 Rh
0.046 0.104 0.896 Rh
0.680 0.996 0.004 Rb
0.320 0.004 0.996 Rb
```

Output
- magnetization (μB/atom) = 0.000
- DOS(E_F) (states/eV/f.u.) = 2.2
- offset from the most stable computed form (kJ per mole of atoms) = 18.6
- space group = C2/m (12)
- calculated formation energy (eV per atom) = 0.0847

***

Material: MgAsCl2
Method: DFT, PBE-GGA
State: relaxed

The structure in POSCAR format:
```
MgAsCl2
1.0
3.286 0.000 0.000
0.000 5.802 0.000
0.000 0.000 4.308
As Cl Mg
1 2 1
direct
0.000 0.500 0.500 As
0.500 0.500 0.000 Cl
0.000 0.000 0.000 Cl
0.500 0.000 0.500 Mg
```

Output
- ΔE_f (raw) (eV/atom) = -0.45
- magnetization (μB/atom) = 0.000
- DOS(E_F) (states/eV/f.u.) = 1.5
- offset from the most stable computed form (kJ per mole of atoms) = 42.4
- space group = Pmmm (47)

***

Material: Sm4Sn2Sb
Method: DFT, PBE-GGA
State: relaxed

The structure in POSCAR format:
```
Sm4Sn2Sb
1.0
-1.773 -5.541 -5.763
1.573 -3.811 7.075
-6.375 5.044 0.982
Sm Sb Sn
8 2 4
direct
0.233 0.125 0.749 Sm
0.874 0.625 0.608 Sm
0.375 0.983 0.249 Sm
0.515 0.767 0.892 Sm
0.376 0.485 0.251 Sm
0.875 0.624 0.108 Sm
0.017 0.265 0.392 Sm
0.735 0.126 0.751 Sm
0.250 0.750 0.500 Sb
0.000 0.000 0.000 Sb
0.625 0.250 0.124 Sn
0.499 0.375 0.625 Sn
0.751 0.875 0.375 Sn
0.125 0.501 0.876 Sn
```

Output
- ΔE_f (raw) (eV/atom) = -0.85
- magnetization (μB/atom) = 0.000
- DOS(E_F) (states/eV/f.u.) = 6.1
- space group = I-42d (122)

***

Q: Number 1 is which compound?
A: RbCd3Rh